A relaxed structure of ScCoRe2, computed with GGA-PBE.

Lattice parameters (Å, degrees): 4.3623 4.3623 4.3623 60.00 60.00 60.00
With the nearest neighbours (Å) after each atom.
Fractional coordinates of all 4 atoms:
Sc1 0.0000 0.0000 0.0000  8 Re 2.67
Co1 0.5000 0.5000 0.5000  8 Re 2.67
Re1 0.2500 0.2500 0.2500  4 Co 2.67, 4 Sc 2.67
Re2 0.7500 0.7500 0.7500  4 Co 2.67, 4 Sc 2.67

Calculated values
SG   Fm-3m
Energy relative to the elements   43 kJ per mole of atoms
Offset from the most stable computed form   520.0 meV per atom
Total energy   -9.14 eV per atom